Os2RuPb: relaxed, PBE.

a b c (Å): 2.8159 3.7322 6.7692
angles (deg): 90.00 98.96 90.00
Fractional coordinates of all 4 atoms:
Os1 0.0000 0.0000 0.0000
Os2 0.4293 0.5000 0.8168
Ru1 0.8500 0.0000 0.6107
Pb1 0.2893 0.5000 0.3327

## Properties
* space-group type: Pm, No. 6
* density of states at the Fermi level: 0.88 states/eV per atom
* energy of formation: 0.6666 eV/atom
* total energy: -8.19 eV per atom



TcAg3F7: relaxed, PBE.

a b c (Å): 5.6912 5.6912 6.2993
angles (deg): 115.03 115.03 88.38
Fractional coordinates of all 11 atoms:
Tc1 0.0000 0.0000 0.0000
Ag1 0.2001 0.7302 0.4771
Ag2 0.4648 0.4648 0.8661
Ag3 0.7302 0.2001 0.4771
F1 0.1517 0.1517 0.8329
F2 0.2844 0.2844 0.3665
F3 0.3029 0.8334 0.1357
F4 0.6483 0.9537 0.6984
F5 0.8334 0.3029 0.1357
F6 0.8350 0.8350 0.1492
F7 0.9537 0.6483 0.6984

## Properties
* space-group type: Cm, No. 8
* density of states at the Fermi level: 0.40 states/eV per atom
* uncorrected formation energy: -15.6 eV/f.u.
* total energy: -4.33 eV per atom



Zr2SiAs: relaxed, PBE.

a b c (Å): 6.9404 6.9404 6.9404
angles (deg): 31.64 31.64 31.64
Fractional coordinates of all 4 atoms:
Zr1 0.0000 0.0000 0.0000
Zr2 0.1778 0.1778 0.1778
Si1 0.5903 0.5903 0.5903
As1 0.4220 0.4220 0.4220

## Properties
* space-group type: R3m, No. 160
* density of states at the Fermi level: 0.74 states/eV per atom
* uncorrected formation energy: -3.4 eV/f.u.
* total energy: -7.65 eV per atom



Np2S2N: relaxed, PBE.

a b c (Å): 6.8433 6.8433 6.8433
angles (deg): 123.74 76.72 132.40
Fractional coordinates of all 10 atoms:
Np1 0.1027 0.2157 0.3185
Np2 0.3973 0.7157 0.1130
Np3 0.6027 0.2843 0.8870
Np4 0.8973 0.7843 0.6815
S1 0.1460 0.6491 0.7951
S2 0.3540 0.1491 0.5031
S3 0.6460 0.8509 0.4969
S4 0.8540 0.3509 0.2049
N1 0.2500 0.2500 0.0000
N2 0.7500 0.7500 0.0000

## Properties
* space-group type: Ibam, No. 72
* density of states at the Fermi level: 2.40 states/eV per atom
* uncorrected formation energy: -6.7 eV/f.u.
* total energy: -9.84 eV per atom